Record 1
Here is a relaxed BaScNi crystal from the Alexandria database. Energies are from GGA-PBEsol.

Unit cell a=4.8386 b=4.8386 c=4.8386 alpha=60.00 beta=60.00 gamma=60.00
Fractional coordinates of all 3 atoms:
Ba (0.0000, 0.0000, 0.0000)
Sc (0.5000, 0.5000, 0.5000)
Ni (0.7500, 0.7500, 0.7500)

* E: -4.621 eV/atom
* spin magnetization: 0.00 μB/cell
* DFT formation energy: 101 kJ/mol of formula units
* D(E_F): 1.03 states/eV/atom

Record 2
Here is a relaxed CaRhBr2 crystal from the Alexandria database. Energies are from GGA-PBEsol.

Unit cell a=4.6981 b=4.6981 c=3.5579 alpha=90.00 beta=90.00 gamma=90.00
Fractional coordinates of all 4 atoms:
Ca (0.0000, 0.0000, 0.0000)
Rh (0.5000, 0.5000, 0.0000)
Br (0.0000, 0.5000, 0.5000)
Br (0.5000, 0.0000, 0.5000)

* formation energy from raw total energies: -0.5678 eV/atom
* E: -4.071 eV/atom
* excess energy over the best structure of this formula in the dataset: 0 meV per atom
* spin magnetization: 0.00 μB/cell
* D(E_F): 0.80 states/eV/atom

Record 3
Here is a relaxed YAl2ZnOs crystal from the Alexandria database. Energies are from GGA-PBEsol.

Unit cell a=4.4822 b=4.4822 c=4.7275 alpha=90.00 beta=90.00 gamma=90.00
Fractional coordinates of all 5 atoms:
Y (0.0000, 0.0000, 0.0000)
Al (0.0000, 0.5000, 0.5000)
Al (0.5000, 0.0000, 0.5000)
Zn (0.5000, 0.5000, 0.5000)
Os (0.5000, 0.5000, 0.0000)

* E: -5.308 eV/atom
* spin magnetization: 0.00 μB/cell
* DFT formation energy: 218 kJ/mol of formula units
* D(E_F): 0.74 states/eV/atom

Record 4
Here is a relaxed KMnBr2 crystal from the Alexandria database. Energies are from GGA-PBEsol.

Unit cell a=7.2165 b=7.2165 c=7.2165 alpha=146.22 beta=146.22 gamma=48.52
Fractional coordinates of all 4 atoms:
K (0.0000, 0.0000, 0.0000)
Mn (0.7500, 0.2500, 0.5000)
Br (0.2500, 0.7500, 0.5000)
Br (0.5000, 0.5000, 0.0000)

* formation energy from raw total energies: -0.3750 eV/atom
* E: -4.034 eV/atom
* excess energy over the best structure of this formula in the dataset: 288 meV per atom
* spin magnetization: 4.98 μB/cell
* D(E_F): 0.76 states/eV/atom

Record 5
Here is a relaxed Ba2NbGaCl crystal from the Alexandria database. Energies are from GGA-PBEsol.

Unit cell a=6.2950 b=6.2950 c=5.0330 alpha=90.00 beta=90.00 gamma=90.00
Fractional coordinates of all 5 atoms:
Ba (0.0000, 0.5000, 0.0000)
Ba (0.5000, 0.0000, 0.0000)
Nb (0.0000, 0.0000, 0.5000)
Ga (0.5000, 0.5000, 0.0000)
Cl (0.5000, 0.5000, 0.5000)

* formation energy from raw total energies: 0.6347 eV/atom
* E: -3.459 eV/atom
* spin magnetization: 4.96 μB/cell
* D(E_F): 0.67 states/eV/atom

Record 6
Here is a relaxed CdPt5 crystal from the Alexandria database. Energies are from GGA-PBEsol.

Unit cell a=5.1983 b=5.1983 c=5.1983 alpha=60.00 beta=60.00 gamma=60.00
Fractional coordinates of all 6 atoms:
Cd (0.0000, 0.0000, 0.0000)
Pt (0.3753, 0.3753, 0.3753)
Pt (0.3753, 0.3753, 0.8741)
Pt (0.3753, 0.8741, 0.3753)
Pt (0.7500, 0.7500, 0.7500)
Pt (0.8741, 0.3753, 0.3753)

* E: -5.892 eV/atom
* spin magnetization: 0.00 μB/cell
* DFT formation energy: 64 kJ/mol of formula units
* D(E_F): 0.66 states/eV/atom

Record 7
Here is a relaxed Na5AsO5 crystal from the Alexandria database. Energies are from GGA-PBEsol.

Unit cell a=5.9541 b=16.4062 c=6.4327 alpha=90.00 beta=90.00 gamma=90.00
Fractional coordinates of all 44 atoms:
Na (0.0648, 0.0889, 0.2500)
Na (0.0648, 0.4111, 0.7500)
Na (0.0693, 0.7500, 0.0000)
Na (0.0693, 0.7500, 0.5000)
Na (0.3634, 0.5858, 0.0057)
Na (0.3634, 0.5858, 0.4943)
Na (0.3634, 0.9142, 0.5057)
Na (0.3634, 0.9142, 0.9943)
Na (0.4173, 0.2306, 0.2500)
Na (0.4173, 0.2694, 0.7500)
Na (0.5827, 0.7306, 0.2500)
Na (0.5827, 0.7694, 0.7500)
Na (0.6366, 0.0858, 0.0057)
Na (0.6366, 0.0858, 0.4943)
Na (0.6366, 0.4142, 0.5057)
Na (0.6366, 0.4142, 0.9943)
Na (0.9307, 0.2500, 0.0000)
Na (0.9307, 0.2500, 0.5000)
Na (0.9352, 0.5889, 0.2500)
Na (0.9352, 0.9111, 0.7500)
As (0.1974, 0.0957, 0.7500)
As (0.1974, 0.4043, 0.2500)
As (0.8026, 0.5957, 0.7500)
As (0.8026, 0.9043, 0.2500)
O (0.0715, 0.5582, 0.7500)
O (0.0715, 0.9418, 0.2500)
O (0.2381, 0.6761, 0.2500)
O (0.2381, 0.8239, 0.7500)
O (0.2499, 0.1551, 0.5345)
O (0.2499, 0.1551, 0.9655)
O (0.2499, 0.3449, 0.0345)
O (0.2499, 0.3449, 0.4655)
O (0.3943, 0.0192, 0.7500)
O (0.3943, 0.4808, 0.2500)
O (0.6057, 0.5192, 0.7500)
O (0.6057, 0.9808, 0.2500)
O (0.7501, 0.6551, 0.5345)
O (0.7501, 0.6551, 0.9655)
O (0.7501, 0.8449, 0.0345)
O (0.7501, 0.8449, 0.4655)
O (0.7619, 0.1761, 0.2500)
O (0.7619, 0.3239, 0.7500)
O (0.9285, 0.0582, 0.7500)
O (0.9285, 0.4418, 0.2500)

* formation energy from raw total energies: -1.5561 eV/atom
* E: -5.043 eV/atom
* spin magnetization: 0.41 μB/cell

Record 8
Here is a relaxed TaTl2Br crystal from the Alexandria database. Energies are from GGA-PBEsol.

Unit cell a=5.0709 b=5.0709 c=5.0709 alpha=60.00 beta=60.00 gamma=60.00
Fractional coordinates of all 4 atoms:
Ta (0.0000, 0.0000, 0.0000)
Tl (0.5000, 0.5000, 0.5000)
Tl (0.7500, 0.7500, 0.7500)
Br (0.2500, 0.2500, 0.2500)

* formation energy from raw total energies: 0.8078 eV/atom
* E: -4.113 eV/atom
* excess energy over the best structure of this formula in the dataset: 604 meV per atom
* spin magnetization: 1.92 μB/cell
* D(E_F): 1.17 states/eV/atom

Record 9
Here is a relaxed TePt crystal from the Alexandria database. Energies are from GGA-PBEsol.

Unit cell a=7.0110 b=7.0110 c=7.0110 alpha=32.75 beta=32.75 gamma=32.75
Fractional coordinates of all 4 atoms:
Te (0.0987, 0.0987, 0.0987)
Te (0.9013, 0.9013, 0.9013)
Pt (0.3699, 0.3699, 0.3699)
Pt (0.6301, 0.6301, 0.6301)

* formation energy from raw total energies: -0.3421 eV/atom
* E: -5.587 eV/atom
* spin magnetization: 0.00 μB/cell
* D(E_F): 0.49 states/eV/atom

Record 10
Here is a relaxed SrSeBr crystal from the Alexandria database. Energies are from GGA-PBEsol.

Unit cell a=4.7126 b=4.7126 c=5.3271 alpha=90.00 beta=90.00 gamma=120.00
Fractional coordinates of all 3 atoms:
Sr (0.0000, 0.0000, 0.0000)
Se (0.6667, 0.3333, 0.2515)
Br (0.3333, 0.6667, 0.7228)

* formation energy from raw total energies: -1.2048 eV/atom
* E: -3.725 eV/atom
* spin magnetization: 1.03 μB/cell
* D(E_F): 1.14 states/eV/atom

Record 11
Here is a relaxed Cd3Rh crystal from the Alexandria database. Energies are from GGA-PBEsol.

Unit cell a=4.8687 b=4.8687 c=3.1177 alpha=90.00 beta=90.00 gamma=107.14
Fractional coordinates of all 4 atoms:
Cd (0.0000, 0.0000, 0.0000)
Cd (0.0000, 0.5000, 0.5000)
Cd (0.5000, 0.0000, 0.5000)
Rh (0.5000, 0.5000, 0.0000)

* E: -2.971 eV/atom
* spin magnetization: 0.00 μB/cell
* DFT formation energy: -15 kJ/mol of formula units
* D(E_F): 0.44 states/eV/atom

Record 12
Here is a relaxed K3Hg5 crystal from the Alexandria database. Energies are from GGA-PBEsol.

Unit cell a=9.3881 b=9.3881 c=9.3881 alpha=96.20 beta=96.20 gamma=141.62
Fractional coordinates of all 16 atoms:
K (0.1790, 0.6790, 0.8579)
K (0.2500, 0.2500, 0.0000)
K (0.3210, 0.1790, 0.5000)
K (0.6790, 0.8210, 0.5000)
K (0.7500, 0.7500, 0.0000)
K (0.8210, 0.3210, 0.1421)
Hg (0.0665, 0.2571, 0.3236)
Hg (0.2429, 0.4335, 0.6764)
Hg (0.2500, 0.7500, 0.5000)
Hg (0.2571, 0.9335, 0.1906)
Hg (0.4335, 0.7571, 0.1906)
Hg (0.5665, 0.2429, 0.8094)
Hg (0.7429, 0.0665, 0.8094)
Hg (0.7500, 0.2500, 0.5000)
Hg (0.7571, 0.5665, 0.3236)
Hg (0.9335, 0.7429, 0.6764)

* E: -0.920 eV/atom
* spin magnetization: 0.00 μB/cell
* DFT formation energy: -109 kJ/mol of formula units
* D(E_F): 0.54 states/eV/atom